1.
Co2PtAu | PBE | optimized geometry

```
4
Lattice="-1.902 1.902 3.893 1.902 -1.902 3.893 1.902 1.902 -3.893" Properties=species:S:1:pos:R:3 pbc="T T T"
Co 0.000 0.000 0.000
Co 0.000 1.902 1.947
Pt 1.902 0.000 1.947
Au 0.000 0.000 3.893
```

Values from the calculation:
Its raw total energy is -23.1 eV for the cell shown. The crystal system is tetragonal.

2.
CoPt2Au | PBE | optimized geometry

```
4
Lattice="4.629 -1.399 0.000 4.629 1.399 0.000 -0.954 0.000 4.703" Properties=species:S:1:pos:R:3 pbc="T T T"
Co 0.000 0.000 0.000
Pt 1.667 0.000 3.579
Pt 6.638 0.000 1.124
Au 4.152 0.000 2.351
```

Values from the calculation:
Its raw total energy is -22.3 eV for the cell shown. The crystal system is monoclinic.

3.
CoPt2Au | PBE | optimized geometry

```
4
Lattice="2.780 0.000 0.000 0.000 2.780 0.000 0.000 0.000 7.844" Properties=species:S:1:pos:R:3 pbc="T T T"
Co 0.000 0.000 0.000
Pt 0.000 0.000 3.775
Pt 1.390 1.390 1.716
Au 1.390 1.390 5.931
```

Values from the calculation:
Its raw total energy is -22.4 eV for the cell shown. The crystal system is tetragonal.

4.
Co2PtAu | PBE | optimized geometry

```
4
Lattice="2.750 0.000 0.000 0.000 4.093 0.000 -1.362 0.000 5.021" Properties=species:S:1:pos:R:3 pbc="T T T"
Co 0.000 0.000 0.000
Co 0.003 2.047 1.211
Pt 1.379 0.000 2.274
Au 0.012 2.047 3.877
```

Values from the calculation:
Its raw total energy is -23.1 eV for the cell shown. The crystal system is monoclinic.

5.
Co2PtAu | PBE | optimized geometry

```
4
Lattice="0.000 3.071 3.071 3.071 0.000 3.071 3.071 3.071 0.000" Properties=species:S:1:pos:R:3 pbc="T T T"
Co 0.000 0.000 0.000
Co 1.535 1.535 1.535
Pt 3.071 3.071 3.071
Au 4.606 4.606 4.606
```

Values from the calculation:
Its raw total energy is -22.5 eV for the cell shown. The crystal system is cubic.

6.
CoPtAu2 | PBE | optimized geometry

```
4
Lattice="-1.434 2.354 4.738 1.434 -2.354 4.738 1.434 2.354 -4.738" Properties=species:S:1:pos:R:3 pbc="T T T"
Co 0.000 0.000 0.000
Pt 0.000 0.000 4.738
Au 1.434 0.000 2.235
Au 0.000 2.354 2.503
```

Values from the calculation:
Its raw total energy is -18.9 eV for the cell shown. The crystal system is orthorhombic.

Which of these has the highest raw total energy? CoPtAu2